This record from Alexandria describes a relaxed structure of ZrCoO2F. The functional is GGA+U.

Results
DOS(E_F) in states/eV/atom: 0.5310
Crystal system: tetragonal
Total DFT energy (no corrections) in eV/cell: -35.2

Unit cell a=4.1452 b=4.1452 c=4.1901 alpha=90.00 beta=90.00 gamma=90.00
Site moments in Bohr magnetons follow the coordinates.
Atoms (fractional coordinates):
Co (0.5000, 0.5000, 0.5000)  2.05
O (0.0000, 0.5000, 0.0000)  0.01
O (0.5000, 0.0000, 0.0000)  0.01
Zr (0.0000, 0.0000, 0.0000)  -0.01
F (0.0000, 0.0000, 0.5000)  0.00